Record 1
The following is a DFT calculation (PBE-GGA) of a relaxed structure of NaAsSe2.

Unit cell a=5.917 b=24.992 c=12.091 alpha=90.00 beta=90.00 gamma=90.00
Space group Pbca (No. 61)
One atom of each set of equivalent atoms:
Na (0.209, 0.247, 0.124) (multiplicity 8)
Na (0.238, 0.502, 0.627) (multiplicity 8)
As (0.212, 0.612, 0.855) (multiplicity 8)
As (0.232, 0.140, 0.355) (multiplicity 8)
Se (0.149, 0.122, 0.156) (multiplicity 8)
Se (0.206, 0.129, 0.655) (multiplicity 8)
Se (0.209, 0.233, 0.374) (multiplicity 8)
Se (0.239, 0.519, 0.876) (multiplicity 8)

Raw formation energy, eV/atom: -0.5518

---

Record 2
The following is a DFT calculation (PBE-GGA) of a relaxed structure of Na2As2Se.

Unit cell a=5.963 b=5.963 c=7.540 alpha=90.00 beta=90.00 gamma=90.00
Space group I4/mmm (No. 139)
One atom of each set of equivalent atoms:
Na (0.000, 0.500, 0.250) (multiplicity 4)
As (0.000, 0.000, 0.157) (multiplicity 4)
Se (0.000, 0.000, 0.500) (multiplicity 2)

Raw formation energy, eV/atom: -0.1713

---

Record 3
The following is a DFT calculation (PBE-GGA) of a relaxed structure of NaAsSe2.

Unit cell a=6.403 b=6.403 c=12.567 alpha=90.00 beta=90.00 gamma=90.00
Space group I-42d (No. 122)
One atom of each set of equivalent atoms:
Na (0.000, 0.000, 0.000) (multiplicity 4)
As (0.000, 0.000, 0.500) (multiplicity 4)
Se (0.202, 0.250, 0.625) (multiplicity 8)

Raw formation energy, eV/atom: -0.3874

---

Record 4
The following is a DFT calculation (PBE-GGA) of a relaxed structure of Na8AsSe2.

Unit cell a=17.693 b=4.866 c=7.119 alpha=90.00 beta=108.38 gamma=90.00
Space group C2/m (No. 12)
One atom of each set of equivalent atoms:
Na (0.033, 0.000, 0.301) (multiplicity 4)
Na (0.093, 0.500, 0.943) (multiplicity 4)
Na (0.162, 0.500, 0.444) (multiplicity 4)
Na (0.203, 0.000, 0.805) (multiplicity 4)
As (0.000, 0.500, 0.500) (multiplicity 2)
Se (0.193, 0.000, 0.206) (multiplicity 4)

Raw formation energy, eV/atom: -0.6477

---

Record 5
The following is a DFT calculation (PBE-GGA) of a relaxed structure of NaAsSe3.

Unit cell a=5.059 b=5.059 c=5.059 alpha=90.00 beta=90.00 gamma=90.00
Space group Pm-3m (No. 221)
One atom of each set of equivalent atoms:
Na (0.000, 0.000, 0.000) (multiplicity 1)
As (0.500, 0.500, 0.500) (multiplicity 1)
Se (0.000, 0.000, 0.500) (multiplicity 3)

Raw formation energy, eV/atom: 0.8988

---

Record 6
The following is a DFT calculation (PBE-GGA) of a relaxed structure of NaAsSe2.

Unit cell a=3.9817 b=3.9817 c=25.0747 alpha=90.00 beta=90.00 gamma=120.00
Space group R-3m (No. 166, hexagonal axes)
One atom of each set of equivalent atoms:
Na (0.0000, 0.0000, 0.0000) (multiplicity 3)
As (0.0000, 0.0000, 0.5000) (multiplicity 3)
Se (0.0000, 0.0000, 0.1079) (multiplicity 6)

Raw formation energy, eV/atom: -0.3039